Na3Li3Cr2F12: optimized geometry, PBE with a Hubbard U.

a b c (Å): 12.5385 12.5385 12.5385
angles (deg): 90.00 90.00 90.00
With the nearest neighbours (Å) after each atom.
Space group Ia-3d (No. 230)
Unique sites:
Na 0.0000 0.2500 0.1250 [24 per cell]  8 F 2.41-2.57
Li 0.0000 0.2500 0.3750 [24 per cell]  4 F 1.88
Cr 0.0000 0.0000 0.0000 [16 per cell]  6 F 1.95
F 0.0292 0.0480 0.6452 [96 per cell]  1 Li 1.88, 1 Cr 1.95

The value obtained for the total energy is -5.236 eV/atom.